# SbPb, relaxed, DFT PBEsol
# * V: 244 Å³/cell
# * formation energy without anion corrections: 0.076 eV per atom
# * calculated total energy: -4.202 eV/atom
data_SbPb
_chemical_formula_sum 'Sb4 Pb4'
_symmetry_space_group_name_H-M 'F m -3 m'
_symmetry_Int_Tables_number 225
_symmetry_space_group_name_Hall '-F 4 2 3'
_cell_length_a 6.247
_cell_length_b 6.247
_cell_length_c 6.247
_cell_angle_alpha 90.00
_cell_angle_beta 90.00
_cell_angle_gamma 90.00
loop_
_atom_site_label
_atom_site_type_symbol
_atom_site_fract_x
_atom_site_fract_y
_atom_site_fract_z
_atom_site_occupancy
Sb1 Sb 0.000 0.000 0.000 1
Pb1 Pb 0.000 0.000 0.500 1